# Ti5BiB2

Ti5BiB2 after structural relaxation (PBE, the Alexandria database).

Cell: 6.220 6.220 7.729 Å, 113.73 113.73 90.00°
Atoms (fractional coordinates):
1 Ti 0.291 0.791 0.232
2 Ti 0.500 0.500 0.000
3 Ti 0.559 0.709 0.768
4 Ti 0.941 0.441 0.232
5 Ti 0.709 0.209 0.768
6 Ti 0.059 0.559 0.768
7 Ti 0.441 0.291 0.232
8 Ti 0.791 0.941 0.232
9 Ti 0.000 0.000 0.000
10 Ti 0.209 0.059 0.768
11 B 0.390 0.890 0.000
12 B 0.110 0.390 0.000
13 B 0.890 0.610 0.000
14 B 0.610 0.110 0.000
15 Bi 0.750 0.750 0.500
16 Bi 0.250 0.250 0.500

## Properties
Energy of formation from the pure elements: -401 meV per atom
Calculated volume: 15.4 A^3/atom
Crystal system: tetragonal
Final energy: -7.49 eV/atom